The following is a DFT calculation (PBE) of Cd2Ir after structural relaxation.

ρ = 12.53 g/cm³
VASP energy = -0.24723 Ry/atom

Unit cell a=7.9658 b=7.9658 c=4.7527 alpha=90.00 beta=90.00 gamma=158.50
With the nearest neighbours (Å) after each atom.
Atoms (fractional coordinates):
Cd: 0.8789 0.1211 0.7500  4 Ir 2.78-2.91, 6 Cd 2.93-2.97
Cd: 0.1211 0.8789 0.2500  4 Ir 2.78-2.91, 6 Cd 2.93-2.97
Cd: 0.4344 0.5656 0.2500  10 Cd 2.93-3.28, 2 Ir 2.95
Cd: 0.5656 0.4344 0.7500  10 Cd 2.93-3.28, 2 Ir 2.95
Ir: 0.2286 0.7714 0.7500  6 Cd 2.78-2.95, 6 Ir 2.88-2.97
Ir: 0.7714 0.2286 0.2500  6 Cd 2.78-2.95, 6 Ir 2.88-2.97

The following is a DFT calculation (PBE) of Cd2Ir3 after structural relaxation.

ρ = 16.22 g/cm³
VASP energy = -0.40133 Ry/atom

Unit cell a=11.7108 b=11.7108 c=11.7108 alpha=14.02 beta=14.02 gamma=14.02
With the nearest neighbours (Å) after each atom.
Atoms (fractional coordinates):
Cd: 0.4012 0.4012 0.4012  6 Cd 2.86, 6 Ir 2.88-2.91
Cd: 0.5988 0.5988 0.5988  6 Cd 2.86, 6 Ir 2.88-2.91
Ir: 0.0000 0.0000 0.0000  6 Ir 2.86, 6 Cd 2.88
Ir: 0.1966 0.1966 0.1966  9 Ir 2.66-2.86, 3 Cd 2.91
Ir: 0.8034 0.8034 0.8034  9 Ir 2.66-2.86, 3 Cd 2.91

The following is a DFT calculation (PBE) of Cd5Ir3 after structural relaxation.

ρ = 12.70 g/cm³
Excess energy over the best structure of this formula in the dataset = 0.000 eV per atom

Unit cell a=5.1764 b=8.1408 c=8.1439 alpha=97.54 beta=68.70 gamma=111.31
With the nearest neighbours (Å) after each atom.
Atoms (fractional coordinates):
Ir: 0.7749 0.1535 0.4956  9 Cd 2.81-3.08, 1 Ir 3.01
Ir: 0.2499 0.9964 0.9970  2 Ir 2.59, 6 Cd 2.78-2.88
Ir: 0.7256 0.4952 0.1537  9 Cd 2.81-3.08, 1 Ir 3.01
Ir: 0.2744 0.5048 0.8471  9 Cd 2.81-3.08, 1 Ir 3.01
Ir: 0.7501 0.0036 0.0038  2 Ir 2.59, 6 Cd 2.78-2.88
Ir: 0.2251 0.8465 0.5052  9 Cd 2.81-3.08, 1 Ir 3.01
Cd: 0.9046 0.6978 0.8523  6 Ir 2.81-3.08, 4 Cd 3.00-3.13
Cd: 0.7966 0.8416 0.3038  5 Ir 2.78-3.04, 3 Cd 2.99-3.02
Cd: 0.2503 0.4803 0.4802  2 Cd 2.62, 2 Ir 2.87
Cd: 0.7032 0.3032 0.8419  5 Ir 2.78-3.04, 3 Cd 3.00-3.02
Cd: 0.5951 0.8520 0.6981  6 Ir 2.81-3.08, 4 Cd 2.99-3.13
Cd: 0.4049 0.1481 0.3026  6 Ir 2.81-3.08, 4 Cd 3.00-3.13
Cd: 0.2968 0.6968 0.1589  5 Ir 2.78-3.04, 3 Cd 2.99-3.02
Cd: 0.7497 0.5197 0.5207  2 Cd 2.62, 2 Ir 2.87
Cd: 0.2033 0.1585 0.6970  5 Ir 2.78-3.04, 3 Cd 3.00-3.02
Cd: 0.0954 0.3022 0.1485  6 Ir 2.81-3.08, 4 Cd 2.99-3.13

The following is a DFT calculation (PBE) of Cd2Ir after structural relaxation.

ρ = 12.76 g/cm³
VASP energy = -0.25205 Ry/atom

Unit cell a=7.5442 b=7.5442 c=4.6653 alpha=90.00 beta=90.00 gamma=155.88
With the nearest neighbours (Å) after each atom.
Atoms (fractional coordinates):
Cd: 0.2288 0.7712 0.2500  4 Ir 2.86-2.92, 8 Cd 2.88-3.15
Cd: 0.4419 0.5581 0.7500  6 Cd 2.90-3.15, 6 Ir 2.92-2.93
Cd: 0.5581 0.4419 0.2500  6 Cd 2.90-3.15, 6 Ir 2.92-2.93
Cd: 0.7712 0.2288 0.7500  4 Ir 2.86-2.92, 8 Cd 2.88-3.15
Ir: 0.8905 0.1095 0.2500  10 Cd 2.86-2.93, 2 Ir 3.15
Ir: 0.1095 0.8905 0.7500  10 Cd 2.86-2.93, 2 Ir 3.15

The following is a DFT calculation (PBE) of Cd2Ir after structural relaxation.

ρ = 12.48 g/cm³
VASP energy = -0.24417 Ry/atom

Unit cell a=4.7306 b=4.7306 c=5.7276 alpha=90.00 beta=90.00 gamma=120.00
With the nearest neighbours (Å) after each atom.
Atoms (fractional coordinates):
Cd: 0.0000 0.0000 0.0000  8 Cd 2.86-3.08, 6 Ir 3.08
Cd: 0.0000 0.0000 0.5000  8 Cd 2.86-3.08, 6 Ir 3.08
Cd: 0.3333 0.6667 0.2500  5 Ir 2.73-2.86
Cd: 0.6667 0.3333 0.7500  5 Ir 2.73-2.86
Ir: 0.3333 0.6667 0.7500  5 Cd 2.73-2.86
Ir: 0.6667 0.3333 0.2500  5 Cd 2.73-2.86

The following is a DFT calculation (PBE) of Cd3Ir after structural relaxation.

ρ = 11.72 g/cm³
VASP energy = -0.20264 Ry/atom

Unit cell a=4.9824 b=4.9824 c=3.1657 alpha=90.00 beta=90.00 gamma=107.29
With the nearest neighbours (Å) after each atom.
Atoms (fractional coordinates):
Ir: 0.5000 0.5000 0.0000  10 Cd 2.95, 2 Ir 3.17
Cd: 0.0000 0.0000 0.0000  10 Cd 2.95-3.17, 2 Ir 2.95
Cd: 0.0000 0.5000 0.5000  8 Cd 2.95-3.17, 4 Ir 2.95
Cd: 0.5000 0.0000 0.5000  4 Ir 2.95, 8 Cd 2.95-3.17

The following is a DFT calculation (PBE) of Cd3Ir after structural relaxation.

ρ = 11.73 g/cm³
VASP energy = -0.20292 Ry/atom

Unit cell a=4.7325 b=4.7325 c=4.7325 alpha=60.00 beta=60.00 gamma=60.00
With the nearest neighbours (Å) after each atom.
Atoms (fractional coordinates):
Ir: 0.2500 0.2500 0.2500  8 Cd 2.90
Cd: 0.0000 0.0000 0.0000  4 Ir 2.90, 4 Cd 2.90
Cd: 0.5000 0.5000 0.5000  4 Cd 2.90, 4 Ir 2.90
Cd: 0.7500 0.7500 0.7500  8 Cd 2.90

The following is a DFT calculation (PBE) of Cd3Ir after structural relaxation.

ρ = 11.41 g/cm³
VASP energy = -0.19871 Ry/atom

Unit cell a=5.3620 b=5.3620 c=5.3620 alpha=90.00 beta=90.00 gamma=90.00
With the nearest neighbours (Å) after each atom.
Atoms (fractional coordinates):
Cd: 0.0000 0.2500 0.5000  2 Cd 2.68, 4 Ir 3.00
Cd: 0.0000 0.7500 0.5000  2 Cd 2.68, 4 Ir 3.00
Cd: 0.2500 0.5000 0.0000  2 Cd 2.68, 4 Ir 3.00
Cd: 0.5000 0.0000 0.2500  2 Cd 2.68, 4 Ir 3.00
Cd: 0.5000 0.0000 0.7500  2 Cd 2.68, 4 Ir 3.00
Cd: 0.7500 0.5000 0.0000  2 Cd 2.68, 4 Ir 3.00
Ir: 0.0000 0.0000 0.0000  12 Cd 3.00
Ir: 0.5000 0.5000 0.5000  12 Cd 3.00

Which value of ρ does entry 6 give? 11.72 g/cm³